DFT (PBE+U) results for a geometry-optimized CeMnO4 structure.

```
data_CeMnO4
_space_group_name_H-M_alt 'I -4 m 2'
_space_group_IT_number 119
_space_group_name_Hall 'I -4 -2'
_cell_length_a 4.094
_cell_length_b 4.094
_cell_length_c 10.590
_cell_angle_alpha 90.00
_cell_angle_beta 90.00
_cell_angle_gamma 90.00
loop_
_atom_site_label
_atom_site_type_symbol
_atom_site_fract_x
_atom_site_fract_y
_atom_site_fract_z
Ce1 Ce 0.000 0.000 0.000
Mn1 Mn 0.000 0.500 0.750
O1 O 0.000 0.000 0.220
O2 O 0.000 0.500 0.570
```


DFT (PBE+U) results for a geometry-optimized CeMnO3 structure.

```
data_CeMnO3
_space_group_name_H-M_alt 'P m -3 m'
_space_group_IT_number 221
_space_group_name_Hall '-P 4 2 3'
_cell_length_a 3.925
_cell_length_b 3.925
_cell_length_c 3.925
_cell_angle_alpha 90.00
_cell_angle_beta 90.00
_cell_angle_gamma 90.00
loop_
_atom_site_label
_atom_site_type_symbol
_atom_site_fract_x
_atom_site_fract_y
_atom_site_fract_z
Ce1 Ce 0.000 0.000 0.000
Mn1 Mn 0.500 0.500 0.500
O1 O 0.000 0.500 0.500
```


DFT (PBE+U) results for a geometry-optimized CeMnO2 structure.

```
data_CeMnO2
_space_group_name_H-M_alt 'R -3 m'
_space_group_IT_number 166
_space_group_name_Hall '-R 3 2"'
_cell_length_a 3.7670
_cell_length_b 3.7670
_cell_length_c 17.5368
_cell_angle_alpha 90.00
_cell_angle_beta 90.00
_cell_angle_gamma 120.00
loop_
_atom_site_label
_atom_site_type_symbol
_atom_site_fract_x
_atom_site_fract_y
_atom_site_fract_z
Ce1 Ce 0.0000 0.0000 0.0000
Mn1 Mn 0.0000 0.0000 0.5000
O1 O 0.0000 0.0000 0.3897
```


no.,magnetic moment (Bohr magnetons per cell),total DFT energy (no corrections) (eV per atom)
1,6.0,-7.697
2,5.0,-8.028
3,14.2,-8.112